This record from the Alexandria database describes a geometry-optimized TiBiSeN2 structure. The functional is PBE-GGA.

Properties
For the energy above the most stable polymorph in this dataset, the calculation gives 1262 meV per atom. As for the formation energy (no corrections): 1.4513 eV/atom. The crystal system is tetragonal.

Cell lengths 4.222, 4.222, 5.549 Å; angles 90.00, 90.00, 90.00 degrees
Space group P4/mmm (No. 123)
Asymmetric unit:
Ti 0.000 0.000 0.000 x1
Bi 0.500 0.500 0.500 x1
Se 0.500 0.500 0.000 x1
N 0.000 0.500 0.500 x2